MnAsRuO6: optimized geometry, PBE+U.

```
18
Lattice="-0.476 4.181 2.801 -3.580 -1.215 -3.355 -4.502 -4.926 6.587" Properties=species:S:1:pos:R:3 pbc="T T T"
O -6.195 -4.962 3.547
Mn -2.251 -2.463 3.294
O -4.350 1.573 3.020
O -3.069 -0.664 2.224
O -5.489 -1.297 3.809
O -1.987 0.903 4.135
O -4.207 -3.533 3.013
As -2.636 1.151 2.396
O -0.857 0.841 1.900
O -2.363 3.001 2.486
O -5.367 -3.209 5.423
O -7.701 -2.801 4.133
Ru -4.887 -1.312 5.689
As -5.922 -3.111 3.637
O -3.191 1.249 0.610
O -6.571 -2.864 1.898
Mn 0.000 0.000 0.000
Ru -3.671 -0.648 0.344
```

Calculated values
size of the total moment: 7.8 μB/f.u.
crystal system: trigonal
E_tot: -6.866 eV/atom